[1]
The following is a GGA-PBE calculation of a geometry-optimized Pm4Mg5Ni2 structure, from the Alexandria database.

The structure in POSCAR format:
```
Pm4Mg5Ni2
1.0
3.629 0.000 0.000
0.000 8.025 0.077
0.000 -0.676 9.721
Pm Mg Ni
4 5 2
Cartesian
1.814 5.953 5.417
1.814 0.736 8.201
1.814 1.397 4.380
1.814 6.614 1.596
0.000 4.180 3.172
0.000 1.364 1.481
0.000 4.013 0.038
0.000 5.986 8.317
0.000 3.170 6.625
0.000 0.067 6.154
0.000 7.283 3.644
```

Output
symmetry = No. 10
magnetic moment = 0.000 μB/atom

***

[2]
The following is a GGA-PBE calculation of a geometry-optimized PmMgNi10 structure, from the Alexandria database.

The structure in POSCAR format:
```
PmMgNi10
1.0
3.986 0.000 0.000
0.000 4.822 0.000
0.000 0.000 8.372
Pm Mg Ni
1 1 10
Cartesian
0.000 0.000 0.000
0.000 2.411 4.186
0.000 0.000 2.869
0.000 2.411 6.858
0.000 2.411 1.514
0.000 0.000 5.503
1.993 0.000 4.186
1.993 2.411 0.000
1.993 1.214 2.135
1.993 3.608 6.237
1.993 3.608 2.135
1.993 1.214 6.237
```

Output
symmetry = No. 47
magnetic moment = 0.287 μB/atom

***

no.,calculated formation energy (eV per formula unit)
1,-1.76
2,-1.80